# Tb12AlPd6 PBE optimized geometry
data_Tb12AlPd6
_cell_length_a 8.638
_cell_length_b 8.638
_cell_length_c 8.638
_cell_angle_alpha 109.47
_cell_angle_beta 109.47
_cell_angle_gamma 109.47
_space_group_name_H-M_alt 'P 1'
_space_group_IT_number 1
_space_group_name_Hall 'P 1'
loop_
_atom_site_label
_atom_site_type_symbol
_atom_site_fract_x
_atom_site_fract_y
_atom_site_fract_z
Tb1 Tb 0.296 0.113 0.817
Tb2 Tb 0.296 0.479 0.183
Tb3 Tb 0.704 0.521 0.817
Tb4 Tb 0.704 0.887 0.183
Tb5 Tb 0.113 0.817 0.296
Tb6 Tb 0.479 0.183 0.296
Tb7 Tb 0.521 0.817 0.704
Tb8 Tb 0.887 0.183 0.704
Tb9 Tb 0.817 0.296 0.113
Tb10 Tb 0.183 0.296 0.479
Tb11 Tb 0.817 0.704 0.521
Tb12 Tb 0.183 0.704 0.887
Al1 Al 0.000 0.000 0.000
Pd1 Pd 0.363 0.500 0.863
Pd2 Pd 0.637 0.500 0.137
Pd3 Pd 0.500 0.863 0.363
Pd4 Pd 0.500 0.137 0.637
Pd5 Pd 0.863 0.363 0.500
Pd6 Pd 0.137 0.637 0.500
# Spin magnetization (Bohr magnetons per cell): 0.0
# Formation energy from the elements (eV/atom): -0.5862
# Crystal system: cubic
# Volume (Å³/atom): 26.11
# Offset from the most stable computed form (eV per atom): 0.000
# Uncorrected energy (eV per formula unit): -101.6
# Symmetry: No. 204
# N(E_F) (states/eV/f.u.): 15.10


# TbAlPd PBE optimized geometry
data_TbAlPd
_cell_length_a 4.291
_cell_length_b 7.071
_cell_length_c 11.995
_cell_angle_alpha 91.83
_cell_angle_beta 90.00
_cell_angle_gamma 90.00
_space_group_name_H-M_alt 'P 1'
_space_group_IT_number 1
_space_group_name_Hall 'P 1'
loop_
_atom_site_label
_atom_site_type_symbol
_atom_site_fract_x
_atom_site_fract_y
_atom_site_fract_z
Tb1 Tb 0.750 0.531 0.374
Tb2 Tb 0.250 0.966 0.710
Tb3 Tb 0.750 0.034 0.290
Tb4 Tb 0.750 0.654 0.081
Tb5 Tb 0.250 0.469 0.626
Tb6 Tb 0.250 0.346 0.919
Al1 Al 0.250 0.997 0.083
Al2 Al 0.250 0.856 0.457
Al3 Al 0.750 0.641 0.798
Al4 Al 0.750 0.144 0.543
Al5 Al 0.250 0.359 0.202
Al6 Al 0.750 0.003 0.917
Pd1 Pd 0.250 0.770 0.908
Pd2 Pd 0.750 0.259 0.756
Pd3 Pd 0.750 0.772 0.575
Pd4 Pd 0.750 0.230 0.092
Pd5 Pd 0.250 0.228 0.425
Pd6 Pd 0.250 0.741 0.244
# Spin magnetization (Bohr magnetons per cell): 0.0
# Formation energy from the elements (eV/atom): -0.8599
# Crystal system: monoclinic
# Volume (Å³/atom): 20.21
# Uncorrected energy (eV per formula unit): -16.1
# Symmetry: No. 11
# N(E_F) (states/eV/f.u.): 1.58


# TbAl11Pd PBE optimized geometry
data_TbAl11Pd
_cell_length_a 5.227
_cell_length_b 7.226
_cell_length_c 6.848
_cell_angle_alpha 82.90
_cell_angle_beta 67.56
_cell_angle_gamma 71.10
_space_group_name_H-M_alt 'P 1'
_space_group_IT_number 1
_space_group_name_Hall 'P 1'
loop_
_atom_site_label
_atom_site_type_symbol
_atom_site_fract_x
_atom_site_fract_y
_atom_site_fract_z
Tb1 Tb 0.000 0.000 0.000
Al1 Al 0.285 0.222 0.217
Al2 Al 0.715 0.778 0.783
Al3 Al 0.499 0.778 0.217
Al4 Al 0.501 0.222 0.783
Al5 Al 0.347 0.645 0.646
Al6 Al 0.653 0.355 0.354
Al7 Al 0.007 0.355 0.646
Al8 Al 0.993 0.645 0.354
Al9 Al 0.000 0.500 0.000
Al10 Al 0.500 0.000 0.500
Al11 Al 0.000 0.000 0.500
Pd1 Pd 0.500 0.500 0.000
# Spin magnetization (Bohr magnetons per cell): 0.0
# Formation energy from the elements (eV/atom): -0.2308
# Crystal system: monoclinic
# Volume (Å³/atom): 17.40
# Uncorrected energy (eV per formula unit): -54.0
# Symmetry: No. 12
# N(E_F) (states/eV/f.u.): 5.36


# TbAlPd2 PBE optimized geometry
data_TbAlPd2
_cell_length_a 3.442
_cell_length_b 4.619
_cell_length_c 4.619
_cell_angle_alpha 90.00
_cell_angle_beta 90.00
_cell_angle_gamma 90.00
_space_group_name_H-M_alt 'P 1'
_space_group_IT_number 1
_space_group_name_Hall 'P 1'
loop_
_atom_site_label
_atom_site_type_symbol
_atom_site_fract_x
_atom_site_fract_y
_atom_site_fract_z
Tb1 Tb 0.500 0.500 0.500
Al1 Al 0.500 0.000 0.000
Pd1 Pd 0.000 0.000 0.500
Pd2 Pd 0.000 0.500 0.000
# Spin magnetization (Bohr magnetons per cell): 0.0
# Formation energy from the elements (eV/atom): -0.7450
# Crystal system: tetragonal
# Volume (Å³/atom): 18.36
# Uncorrected energy (eV per formula unit): -21.7
# Symmetry: No. 123
# N(E_F) (states/eV/f.u.): 2.26


# TbAl4Pd2 PBE optimized geometry
data_TbAl4Pd2
_cell_length_a 4.128
_cell_length_b 7.769
_cell_length_c 7.769
_cell_angle_alpha 90.00
_cell_angle_beta 90.00
_cell_angle_gamma 90.00
_space_group_name_H-M_alt 'P 1'
_space_group_IT_number 1
_space_group_name_Hall 'P 1'
loop_
_atom_site_label
_atom_site_type_symbol
_atom_site_fract_x
_atom_site_fract_y
_atom_site_fract_z
Tb1 Tb 0.500 0.000 0.000
Tb2 Tb 0.000 0.500 0.500
Al1 Al 0.000 0.085 0.336
Al2 Al 0.000 0.915 0.664
Al3 Al 0.500 0.164 0.585
Al4 Al 0.500 0.836 0.415
Al5 Al 0.500 0.415 0.836
Al6 Al 0.500 0.585 0.164
Al7 Al 0.000 0.336 0.085
Al8 Al 0.000 0.664 0.915
Pd1 Pd 0.000 0.220 0.780
Pd2 Pd 0.000 0.780 0.220
Pd3 Pd 0.500 0.720 0.720
Pd4 Pd 0.500 0.280 0.280
# Spin magnetization (Bohr magnetons per cell): 0.0
# Formation energy from the elements (eV/atom): -0.6976
# Crystal system: tetragonal
# Volume (Å³/atom): 17.79
# Offset from the most stable computed form (eV per atom): 0.065
# Uncorrected energy (eV per formula unit): -34.9
# Symmetry: No. 136
# N(E_F) (states/eV/f.u.): 2.72


# TbAl9Pd2 PBE optimized geometry
data_TbAl9Pd2
_cell_length_a 7.191
_cell_length_b 8.379
_cell_length_c 8.379
_cell_angle_alpha 79.39
_cell_angle_beta 64.59
_cell_angle_gamma 64.59
_space_group_name_H-M_alt 'P 1'
_space_group_IT_number 1
_space_group_name_Hall 'P 1'
loop_
_atom_site_label
_atom_site_type_symbol
_atom_site_fract_x
_atom_site_fract_y
_atom_site_fract_z
Tb1 Tb 0.500 0.000 0.000
Tb2 Tb 0.250 0.500 0.500
Al1 Al 0.750 0.500 0.500
Al2 Al 0.000 0.000 0.000
Al3 Al 0.007 0.920 0.676
Al4 Al 0.603 0.080 0.324
Al5 Al 0.677 0.176 0.580
Al6 Al 0.433 0.824 0.420
Al7 Al 0.743 0.824 0.580
Al8 Al 0.147 0.176 0.420
Al9 Al 0.073 0.920 0.324
Al10 Al 0.317 0.080 0.676
Al11 Al 0.743 0.580 0.824
Al12 Al 0.147 0.420 0.176
Al13 Al 0.073 0.324 0.920
Al14 Al 0.317 0.676 0.080
Al15 Al 0.007 0.676 0.920
Al16 Al 0.603 0.324 0.080
Al17 Al 0.677 0.580 0.176
Al18 Al 0.433 0.420 0.824
Pd1 Pd 0.875 0.250 0.750
Pd2 Pd 0.875 0.750 0.250
Pd3 Pd 0.875 0.250 0.250
Pd4 Pd 0.375 0.750 0.750
# Spin magnetization (Bohr magnetons per cell): 0.0
# Formation energy from the elements (eV/atom): -0.4213
# Crystal system: tetragonal
# Volume (Å³/atom): 17.16
# Uncorrected energy (eV per formula unit): -53.8
# Symmetry: No. 141
# N(E_F) (states/eV/f.u.): 2.95


# TbAl4Pd2 PBE optimized geometry
data_TbAl4Pd2
_cell_length_a 4.321
_cell_length_b 6.604
_cell_length_c 17.273
_cell_angle_alpha 90.00
_cell_angle_beta 90.00
_cell_angle_gamma 90.00
_space_group_name_H-M_alt 'P 1'
_space_group_IT_number 1
_space_group_name_Hall 'P 1'
loop_
_atom_site_label
_atom_site_type_symbol
_atom_site_fract_x
_atom_site_fract_y
_atom_site_fract_z
Tb1 Tb 0.750 0.989 0.639
Tb2 Tb 0.250 0.011 0.361
Tb3 Tb 0.250 0.489 0.861
Tb4 Tb 0.750 0.511 0.139
Al1 Al 0.250 0.276 0.693
Al2 Al 0.750 0.724 0.307
Al3 Al 0.750 0.776 0.807
Al4 Al 0.250 0.224 0.193
Al5 Al 0.250 0.681 0.687
Al6 Al 0.750 0.319 0.313
Al7 Al 0.750 0.181 0.813
Al8 Al 0.250 0.819 0.187
Al9 Al 0.250 0.165 0.536
Al10 Al 0.750 0.835 0.464
Al11 Al 0.750 0.665 0.964
Al12 Al 0.250 0.335 0.036
Al13 Al 0.250 0.493 0.430
Al14 Al 0.750 0.507 0.570
Al15 Al 0.750 0.993 0.070
Al16 Al 0.250 0.007 0.930
Pd1 Pd 0.250 0.758 0.538
Pd2 Pd 0.750 0.242 0.462
Pd3 Pd 0.750 0.258 0.962
Pd4 Pd 0.250 0.742 0.038
Pd5 Pd 0.250 0.976 0.785
Pd6 Pd 0.750 0.024 0.215
Pd7 Pd 0.750 0.476 0.715
Pd8 Pd 0.250 0.524 0.285
# Spin magnetization (Bohr magnetons per cell): 0.0
# Formation energy from the elements (eV/atom): -0.7626
# Crystal system: orthorhombic
# Volume (Å³/atom): 17.60
# Offset from the most stable computed form (eV per atom): 0.000
# Uncorrected energy (eV per formula unit): -35.3
# Symmetry: No. 62
# N(E_F) (states/eV/f.u.): 2.78


# TbAl3Pd4 PBE optimized geometry
data_TbAl3Pd4
_cell_length_a 4.316
_cell_length_b 4.316
_cell_length_c 8.818
_cell_angle_alpha 75.83
_cell_angle_beta 75.83
_cell_angle_gamma 60.00
_space_group_name_H-M_alt 'P 1'
_space_group_IT_number 1
_space_group_name_Hall 'P 1'
loop_
_atom_site_label
_atom_site_type_symbol
_atom_site_fract_x
_atom_site_fract_y
_atom_site_fract_z
Tb1 Tb 0.000 0.000 0.000
Al1 Al 0.241 0.241 0.276
Al2 Al 0.759 0.759 0.724
Al3 Al 0.500 0.500 0.500
Pd1 Pd 0.866 0.866 0.401
Pd2 Pd 0.402 0.402 0.795
Pd3 Pd 0.134 0.134 0.599
Pd4 Pd 0.598 0.598 0.205
# Spin magnetization (Bohr magnetons per cell): 0.0
# Formation energy from the elements (eV/atom): -0.8824
# Crystal system: trigonal
# Volume (Å³/atom): 17.05
# Uncorrected energy (eV per formula unit): -43.7
# Symmetry: No. 166
# N(E_F) (states/eV/f.u.): 2.51


# TbAlPd5 PBE optimized geometry
data_TbAlPd5
_cell_length_a 4.139
_cell_length_b 4.139
_cell_length_c 7.044
_cell_angle_alpha 90.00
_cell_angle_beta 90.00
_cell_angle_gamma 90.00
_space_group_name_H-M_alt 'P 1'
_space_group_IT_number 1
_space_group_name_Hall 'P 1'
loop_
_atom_site_label
_atom_site_type_symbol
_atom_site_fract_x
_atom_site_fract_y
_atom_site_fract_z
Tb1 Tb 0.000 0.000 0.500
Al1 Al 0.500 0.500 0.000
Pd1 Pd 0.000 0.500 0.794
Pd2 Pd 0.000 0.500 0.206
Pd3 Pd 0.500 0.000 0.794
Pd4 Pd 0.500 0.000 0.206
Pd5 Pd 0.500 0.500 0.500
# Spin magnetization (Bohr magnetons per cell): 0.0
# Formation energy from the elements (eV/atom): -0.7763
# Crystal system: tetragonal
# Volume (Å³/atom): 17.24
# Uncorrected energy (eV per formula unit): -39.8
# Symmetry: No. 123
# N(E_F) (states/eV/f.u.): 0.73